This record from Alexandria describes crystalline PaSi2Os at its relaxed geometry. The functional is PBE.

The space group is Pnma (No. 62) and the conventional cell measures 6.7636, 4.0957 and 10.0577 Å, with angles of 90.00, 90.00 and 90.00 degrees. The inequivalent atoms are Pa at (0.1647, 0.2500, 0.1266), Si at (0.1443, 0.2500, 0.8230), Si at (0.2098, 0.2500, 0.4177) and Os at (0.0041, 0.7500, 0.3896).

The energy relative to the elements, uncorrected is -0.665 eV/atom. For the density of states at the Fermi level, the calculation gives 12.9 states/eV/cell. As for the total energy: -136.93 eV/cell.